No. 1
Below is a relaxed DyLuSb crystal, with properties calculated at the PBE level.

Calculated density: 8.6 Mg/m³
Total energy: -4.86 eV/atom
Space-group type: F-43m (216)

Unit cell a=5.0113 b=5.0113 c=5.0113 alpha=60.00 beta=60.00 gamma=60.00
Closest atoms and distances in Å follow each position.
Sites, in units of the cell vectors:
Dy (0.0000, 0.0000, 0.0000)  4 Sb 3.07
Lu (0.5000, 0.5000, 0.5000)  4 Sb 3.07
Sb (0.2500, 0.2500, 0.2500)  4 Dy 3.07, 4 Lu 3.07



No. 2
Below is a relaxed DyLuZn2Si2 crystal, with properties calculated at the PBE level.

Calculated density: 7.7 Mg/m³
Total energy: -4.36 eV/atom
Space-group type: P6_3/mmc (194)
Energy above the lowest structure with this stoichiometry: 0.0000 eV per atom

Unit cell a=4.1328 b=4.1328 c=15.3399 alpha=90.00 beta=90.00 gamma=120.00
Closest atoms and distances in Å follow each position.
Sites, in units of the cell vectors:
Dy (0.0000, 0.0000, 0.0000)  6 Si 3.01, 6 Zn 3.24
Dy (0.0000, 0.0000, 0.5000)  6 Si 3.01, 6 Zn 3.24
Lu (0.0000, 0.0000, 0.2500)  6 Zn 2.90, 6 Si 3.11
Lu (0.0000, 0.0000, 0.7500)  6 Zn 2.90, 6 Si 3.11
Zn (0.3333, 0.6667, 0.1429)  3 Si 2.41
Zn (0.3333, 0.6667, 0.3571)  3 Si 2.41
Zn (0.6667, 0.3333, 0.6429)  3 Si 2.41
Zn (0.6667, 0.3333, 0.8571)  3 Si 2.41
Si (0.3333, 0.6667, 0.6196)  3 Zn 2.41
Si (0.3333, 0.6667, 0.8804)  3 Zn 2.41
Si (0.6667, 0.3333, 0.1196)  3 Zn 2.41
Si (0.6667, 0.3333, 0.3804)  3 Zn 2.41



No. 3
Below is a relaxed DyLuSn crystal, with properties calculated at the PBE level.

Calculated density: 8.2 Mg/m³
Total energy: -4.72 eV/atom
Space-group type: F-43m (216)
Energy above the lowest structure with this stoichiometry: 0.0000 eV per atom

Unit cell a=5.0714 b=5.0714 c=5.0714 alpha=60.00 beta=60.00 gamma=60.00
Closest atoms and distances in Å follow each position.
Sites, in units of the cell vectors:
Dy (0.0000, 0.0000, 0.0000)  4 Sn 3.11
Lu (0.5000, 0.5000, 0.5000)  4 Sn 3.11
Sn (0.2500, 0.2500, 0.2500)  4 Dy 3.11, 4 Lu 3.11



No. 4
Below is a relaxed DyLuZn2Sn2 crystal, with properties calculated at the PBE level.

Calculated density: 8.6 Mg/m³
Total energy: -3.81 eV/atom
Space-group type: P6_3/mmc (194)
Energy above the lowest structure with this stoichiometry: 0.0090 eV per atom

Unit cell a=4.4886 b=4.4886 c=15.6024 alpha=90.00 beta=90.00 gamma=120.00
Closest atoms and distances in Å follow each position.
Sites, in units of the cell vectors:
Dy (0.0000, 0.0000, 0.2500)  6 Zn 2.94
Dy (0.0000, 0.0000, 0.7500)  6 Zn 2.94
Lu (0.0000, 0.0000, 0.0000)  6 Sn 3.12
Lu (0.0000, 0.0000, 0.5000)  6 Sn 3.12
Zn (0.3333, 0.6667, 0.1604)  3 Sn 2.70, 1 Zn 2.80, 3 Dy 2.94
Zn (0.3333, 0.6667, 0.3396)  3 Sn 2.70, 1 Zn 2.80, 3 Dy 2.94
Zn (0.6667, 0.3333, 0.6604)  3 Sn 2.70, 1 Zn 2.80, 3 Dy 2.94
Zn (0.6667, 0.3333, 0.8396)  3 Sn 2.70, 1 Zn 2.80, 3 Dy 2.94
Sn (0.3333, 0.6667, 0.6108)  3 Zn 2.70
Sn (0.3333, 0.6667, 0.8892)  3 Zn 2.70
Sn (0.6667, 0.3333, 0.1108)  3 Zn 2.70
Sn (0.6667, 0.3333, 0.3892)  3 Zn 2.70



No. 5
Below is a relaxed DyLuZn2Sn2 crystal, with properties calculated at the PBE level.

Calculated density: 8.6 Mg/m³
Total energy: -3.82 eV/atom
Space-group type: P6_3/mmc (194)
Energy above the lowest structure with this stoichiometry: 0.0000 eV per atom

Unit cell a=4.4782 b=4.4782 c=15.6218 alpha=90.00 beta=90.00 gamma=120.00
Closest atoms and distances in Å follow each position.
Sites, in units of the cell vectors:
Dy (0.0000, 0.0000, 0.0000)  6 Sn 3.14
Dy (0.0000, 0.0000, 0.5000)  6 Sn 3.14
Lu (0.0000, 0.0000, 0.2500)  6 Zn 2.93
Lu (0.0000, 0.0000, 0.7500)  6 Zn 2.93
Zn (0.3333, 0.6667, 0.1622)  3 Sn 2.69, 1 Zn 2.74, 3 Lu 2.93
Zn (0.3333, 0.6667, 0.3378)  3 Sn 2.69, 1 Zn 2.74, 3 Lu 2.93
Zn (0.6667, 0.3333, 0.6622)  3 Sn 2.69, 1 Zn 2.74, 3 Lu 2.93
Zn (0.6667, 0.3333, 0.8378)  3 Sn 2.69, 1 Zn 2.74, 3 Lu 2.93
Sn (0.3333, 0.6667, 0.6143)  3 Zn 2.69
Sn (0.3333, 0.6667, 0.8857)  3 Zn 2.69
Sn (0.6667, 0.3333, 0.1143)  3 Zn 2.69
Sn (0.6667, 0.3333, 0.3857)  3 Zn 2.69



No. 6
Below is a relaxed SrDyLu crystal, with properties calculated at the PBE level.

Calculated density: 5.4 Mg/m³
Total energy: -2.79 eV/atom
Space-group type: F-43m (216)

Unit cell a=5.6863 b=5.6863 c=5.6863 alpha=60.00 beta=60.00 gamma=60.00
Closest atoms and distances in Å follow each position.
Sites, in units of the cell vectors:
Sr (0.0000, 0.0000, 0.0000)  4 Lu 3.48
Dy (0.5000, 0.5000, 0.5000)  4 Lu 3.48
Lu (0.7500, 0.7500, 0.7500)  4 Sr 3.48, 4 Dy 3.48